YP3N | the Alexandria database | PBE | optimized geometry; M_tot = 2.81 μB per formula unit; ΔE_f (raw) = 1.723 eV per atom; D(E_F) = 0.480 states/eV/atom
1.0
5.313 0.000 0.000
0.000 5.313 0.000
0.000 0.000 5.313
Y P N
1 3 1
Direct
0.000 0.000 0.000
0.000 0.500 0.000
0.000 0.000 0.500
0.500 0.000 0.000
0.500 0.500 0.500


ZrScPt2 | the Alexandria database | PBE | optimized geometry; M_tot = 0.00 μB per formula unit; energy of formation = -0.99 eV/atom; D(E_F) = 0.755 states/eV/atom
1.0
5.270 -0.014 -0.016
2.202 4.788 0.016
-3.728 -2.400 2.849
Pt Sc Zr
2 1 1
Direct
0.000 0.000 0.000
0.750 0.250 0.500
0.500 0.500 0.000
0.250 0.750 0.500


MgICl2 | the Alexandria database | PBE | optimized geometry; M_tot = 0.00 μB per formula unit; ΔE_f (raw) = -1.295 eV per atom; D(E_F) = 0.331 states/eV/atom
1.0
2.060 0.000 12.295
-1.030 1.784 12.295
-1.030 -1.784 12.295
I Mg Cl
1 1 2
Direct
0.000 0.000 0.000
0.500 0.500 0.500
0.872 0.872 0.872
0.128 0.128 0.128


Li2MgP2 | the Alexandria database | PBE | optimized geometry; M_tot = 0.00 μB per formula unit; energy of formation = -0.11 eV/atom; D(E_F) = 0.332 states/eV/atom
1.0
-2.276 2.276 4.058
2.276 -2.276 4.058
2.276 2.276 -4.058
Li Mg P
2 1 2
Direct
0.651 0.651 0.000
0.349 0.349 0.000
0.000 0.000 0.000
0.250 0.750 0.500
0.750 0.250 0.500


Rb2U2NiSe6 | the Alexandria database | PBE | optimized geometry; M_tot = 4.69 μB per formula unit; ΔE_f (raw) = -0.968 eV per atom; D(E_F) = 1.528 states/eV/atom
1.0
6.867 0.193 0.096
-3.226 6.065 0.096
-1.253 -2.153 8.074
Rb U Ni Se
2 2 1 6
Direct
0.823 0.177 0.000
0.177 0.823 0.000
0.332 0.668 0.500
0.668 0.332 0.500
0.000 0.000 0.500
0.707 0.707 0.708
0.064 0.368 0.679
0.293 0.293 0.292
0.368 0.064 0.679
0.936 0.632 0.321
0.632 0.936 0.321


Ag3Mo | the Alexandria database | PBE | optimized geometry; M_tot = 3.00 μB per formula unit; energy of formation = 0.68 eV/atom; D(E_F) = 0.915 states/eV/atom
1.0
-5.665 -1.027 -1.311
3.535 -4.476 1.526
-1.176 0.634 4.587
Ag Mo
6 2
Direct
0.833 0.167 0.250
0.167 0.833 0.750
0.833 0.665 0.250
0.167 0.335 0.750
0.335 0.167 0.250
0.665 0.833 0.750
0.333 0.667 0.250
0.667 0.333 0.750